First-principles (PBE) data for crystalline Pr5Sm3Dy2 at its relaxed geometry, as listed in the Alexandria database.

Cell: 11.1672 10.0878 10.0878 Å, 56.45 56.39 56.39°
With the nearest neighbours (Å) after each atom.
Atoms (fractional coordinates):
Pr: 0.2500 0.5000 0.5000  6 Pr 3.43-3.49
Pr: 0.7500 0.5000 0.5000  6 Pr 3.43-3.49
Pr: 0.4978 0.7522 0.7522  2 Dy 3.39, 1 Sm 3.43, 3 Pr 3.44-3.49
Pr: 0.0022 0.2478 0.2478  2 Dy 3.39, 1 Sm 3.43, 3 Pr 3.44-3.49
Pr: 0.5022 0.2478 0.2478  2 Dy 3.39, 1 Sm 3.43, 3 Pr 3.44-3.49
Pr: 0.9978 0.7522 0.7522  2 Dy 3.39, 1 Sm 3.43, 3 Pr 3.44-3.49
Pr: 0.1252 0.4781 0.2715  1 Dy 2.97
Pr: 0.8748 0.5219 0.7285  1 Dy 2.97
Pr: 0.6252 0.2715 0.4781  1 Dy 2.97
Pr: 0.3748 0.7285 0.5219  1 Dy 2.97
Sm: 0.2500 0.0000 0.0000  4 Dy 3.36, 2 Pr 3.43
Sm: 0.7500 0.0000 0.0000  4 Dy 3.36, 2 Pr 3.43
Sm: 0.3754 0.3751 0.8741  1 Dy 3.21, 1 Pr 3.37
Sm: 0.6246 0.6249 0.1259  1 Dy 3.21, 1 Pr 3.37
Sm: 0.8754 0.8741 0.3751  1 Dy 3.21, 1 Pr 3.37
Sm: 0.1246 0.1259 0.6249  1 Dy 3.21, 1 Pr 3.37
Dy: 0.1221 0.7924 0.9634  1 Pr 2.97, 1 Sm 3.21
Dy: 0.8779 0.2076 0.0366  1 Pr 2.97, 1 Sm 3.21
Dy: 0.6221 0.9634 0.7924  1 Pr 2.97, 1 Sm 3.21
Dy: 0.3779 0.0366 0.2076  1 Pr 2.97, 1 Sm 3.21

Calculated values
E above lowest polymorph (eV per atom): 0.183
Calculated formation energy (eV per atom): 0.352
Crystal system: orthorhombic

=====

First-principles (PBE) data for crystalline KTlO at its relaxed geometry, as listed in the Alexandria database.

Cell: 3.5641 5.8409 7.2292 Å, 90.00 75.89 90.00°
With the nearest neighbours (Å) after each atom.
Atoms (fractional coordinates):
K: 0.8082 0.2500 0.8834  4 O 2.67-2.94
K: 0.1918 0.7500 0.1166  4 O 2.67-2.94
Tl: 0.5600 0.2500 0.3864  2 O 2.35
Tl: 0.4400 0.7500 0.6136  2 O 2.35
O: 0.1683 0.2500 0.1671  2 Tl 2.35
O: 0.8317 0.7500 0.8329  2 Tl 2.35

Calculated values
Crystal system: monoclinic

=====

Number 1: total DFT energy (no corrections) -4.3740 eV per atom. Number 2: total DFT energy (no corrections) -3.7585 eV per atom.